Compound: BeAlCu2
Source: Alexandria
Functional: PBE
Structure: optimized geometry

Lattice parameters (Å, degrees): 2.5500 3.7950 5.0165 90.00 104.70 90.00
Fractional coordinates of all 4 atoms:
Be (0.0000, 0.0000, 0.0000)
Al (0.0000, 0.0000, 0.5000)
Cu (0.4123, 0.5000, 0.2323)
Cu (0.5877, 0.5000, 0.7677)

Formation enthalpy at 0 K in eV/atom: -0.059
Space group: No. 10
D(E_F) in states/eV/cell: 0.7
Crystal system: monoclinic